Record 1
Material: Zn4AuSe
Method: DFT, GGA-PBE
State: optimized geometry

Results
Uncorrected formation energy (eV/atom): 0.1383
Total DFT energy (no corrections) (eV/atom): -1.8380
DOS at the Fermi energy (states/eV per cell): 13.74
Size of the total moment (μB per cell): 0.00

Cell: 7.4036 7.4036 7.4036 Å, 90.00 90.00 90.00°
Space group F-43m (No. 216)
Unique sites:
Zn: 0.1250 0.1250 0.1250 [16 per cell]
Au: 0.2500 0.2500 0.7500 [4 per cell]
Se: 0.0000 0.0000 0.5000 [4 per cell]



Record 2
Material: Zn2Au2Se
Method: DFT, GGA-PBE
State: optimized geometry

Results
Energy above the most stable polymorph in this dataset (eV per atom): 0.006
Uncorrected formation energy (eV/atom): -0.0401
Total DFT energy (no corrections) (eV/atom): -2.5576
DOS at the Fermi energy (states/eV per cell): 3.41
Size of the total moment (μB per cell): 0.00

Cell: 7.8604 7.8604 2.9022 Å, 90.00 90.00 90.00°
Space group P4/mbm (No. 127)
Unique sites:
Zn: 0.1632 0.3368 0.0000 [4 per cell]
Au: 0.1357 0.6357 0.5000 [4 per cell]
Se: 0.0000 0.0000 0.5000 [2 per cell]



Record 3
Material: Zn2AuSe
Method: DFT, GGA-PBE
State: optimized geometry

Results
Uncorrected formation energy (eV/atom): 0.0351
Total DFT energy (no corrections) (eV/atom): -2.2923
DOS at the Fermi energy (states/eV per cell): 1.05
Size of the total moment (μB per cell): 0.00

Cell: 4.4653 4.4653 3.5563 Å, 90.00 90.00 90.00°
Space group P4/mmm (No. 123)
Unique sites:
Zn: 0.0000 0.5000 0.0000 [2 per cell]
Au: 0.0000 0.0000 0.5000 [1 per cell]
Se: 0.5000 0.5000 0.5000 [1 per cell]



Record 4
Material: Zn2AuSe
Method: DFT, GGA-PBE
State: optimized geometry

Results
Uncorrected formation energy (eV/atom): -0.1167
Total DFT energy (no corrections) (eV/atom): -2.4442
DOS at the Fermi energy (states/eV per cell): 10.07
Size of the total moment (μB per cell): 0.00

Cell: 6.2880 6.2880 9.6181 Å, 90.00 90.00 90.00°
Space group I-42d (No. 122)
Unique sites:
Zn: 0.2367 0.2500 0.1250 [8 per cell]
Au: 0.0000 0.0000 0.5000 [4 per cell]
Se: 0.0000 0.0000 0.0000 [4 per cell]



Record 5
Material: Zn2AuSe
Method: DFT, GGA-PBE
State: optimized geometry

Results
Uncorrected formation energy (eV/atom): -0.0428
Total DFT energy (no corrections) (eV/atom): -2.3703
DOS at the Fermi energy (states/eV per cell): 4.80
Size of the total moment (μB per cell): 0.00

Cell: 3.9004 3.9004 18.2032 Å, 90.00 90.00 120.00°
Space group R3m (No. 160, hexagonal axes)
Unique sites:
Zn: 0.0000 0.0000 0.0000 [3 per cell]
Zn: 0.0000 0.0000 0.2406 [3 per cell]
Au: 0.0000 0.0000 0.7350 [3 per cell]
Se: 0.0000 0.0000 0.5094 [3 per cell]



Record 6
Material: Zn2AuSe
Method: DFT, GGA-PBE
State: optimized geometry

Results
Uncorrected formation energy (eV/atom): -0.0137
Total DFT energy (no corrections) (eV/atom): -2.3412
DOS at the Fermi energy (states/eV per cell): 1.96
Size of the total moment (μB per cell): 0.00

Cell: 7.7055 5.6444 3.7855 Å, 90.00 107.58 90.00°
Space group C2/m (No. 12)
Unique sites:
Zn: 0.2500 0.2500 0.0000 [4 per cell]
Au: 0.0000 0.0000 0.5000 [2 per cell]
Se: 0.0000 0.5000 0.5000 [2 per cell]



Record 7
Material: Zn2AuSe
Method: DFT, GGA-PBE
State: optimized geometry

Results
Uncorrected formation energy (eV/atom): 0.0988
Total DFT energy (no corrections) (eV/atom): -2.2286
DOS at the Fermi energy (states/eV per cell): 2.65
Size of the total moment (μB per cell): 0.00

Cell: 3.7932 4.2626 9.0735 Å, 90.00 90.00 90.00°
Space group Cmm2 (No. 35)
Unique sites:
Zn: 0.0000 0.0000 0.0000 [2 per cell]
Zn: 0.0000 0.5000 0.2090 [2 per cell]
Au: 0.0000 0.0000 0.4209 [2 per cell]
Se: 0.0000 0.5000 0.7507 [2 per cell]



Record 8
Material: Zn2AuSe
Method: DFT, GGA-PBE
State: optimized geometry

Results
Uncorrected formation energy (eV/atom): -0.2026
Total DFT energy (no corrections) (eV/atom): -2.5301
DOS at the Fermi energy (states/eV per cell): 1.67
Size of the total moment (μB per cell): 0.00

Cell: 3.6117 3.6117 12.1202 Å, 90.00 90.00 90.00°
Space group I4mm (No. 107)
Unique sites:
Zn: 0.0000 0.0000 0.0000 [2 per cell]
Zn: 0.0000 0.0000 0.3382 [2 per cell]
Au: 0.0000 0.0000 0.7851 [2 per cell]
Se: 0.0000 0.0000 0.5638 [2 per cell]



Record 9
Material: Zn2AuSe
Method: DFT, GGA-PBE
State: optimized geometry

Results
Uncorrected formation energy (eV/atom): 0.0996
Total DFT energy (no corrections) (eV/atom): -2.2278
DOS at the Fermi energy (states/eV per cell): 1.80
Size of the total moment (μB per cell): 0.00

Cell: 2.8589 2.8589 8.9954 Å, 90.00 90.00 90.00°
Space group P4mm (No. 99)
Unique sites:
Zn: 0.0000 0.0000 0.0000 [1 per cell]
Zn: 0.5000 0.5000 0.2043 [1 per cell]
Au: 0.0000 0.0000 0.4144 [1 per cell]
Se: 0.5000 0.5000 0.7452 [1 per cell]



Record 10
Material: Zn2AuSe
Method: DFT, GGA-PBE
State: optimized geometry

Results
Uncorrected formation energy (eV/atom): -0.0507
Total DFT energy (no corrections) (eV/atom): -2.3782
DOS at the Fermi energy (states/eV per cell): 1.28
Size of the total moment (μB per cell): 0.00

Cell: 3.5731 3.7190 6.1199 Å, 90.00 90.00 90.00°
Space group Pmmm (No. 47)
Unique sites:
Zn: 0.0000 0.0000 0.0000 [1 per cell]
Zn: 0.0000 0.5000 0.5000 [1 per cell]
Au: 0.5000 0.0000 0.5000 [1 per cell]
Se: 0.5000 0.5000 0.0000 [1 per cell]



Record 11
Material: ZnAuSe3
Method: DFT, GGA-PBE
State: optimized geometry

Results
Energy above the most stable polymorph in this dataset (eV per atom): 0.004
Uncorrected formation energy (eV/atom): 0.6531
Total DFT energy (no corrections) (eV/atom): -2.3479
DOS at the Fermi energy (states/eV per cell): 6.19
Size of the total moment (μB per cell): 0.00

Cell: 4.9101 4.9101 4.9101 Å, 90.00 90.00 90.00°
Space group Pm-3m (No. 221)
Unique sites:
Zn: 0.0000 0.0000 0.0000 [1 per cell]
Au: 0.5000 0.5000 0.5000 [1 per cell]
Se: 0.0000 0.0000 0.5000 [3 per cell]



Record 12
Material: ZnAu4Se
Method: DFT, GGA-PBE
State: optimized geometry

Results
Uncorrected formation energy (eV/atom): 0.2043
Total DFT energy (no corrections) (eV/atom): -2.7737
DOS at the Fermi energy (states/eV per cell): 9.37
Size of the total moment (μB per cell): 0.00

Cell: 7.8206 7.8206 7.8206 Å, 90.00 90.00 90.00°
Space group F-43m (No. 216)
Unique sites:
Zn: 0.0000 0.0000 0.0000 [4 per cell]
Au: 0.1254 0.1254 0.6254 [16 per cell]
Se: 0.2500 0.2500 0.2500 [4 per cell]



Record 13
Material: Zn2AuSe
Method: DFT, GGA-PBE
State: optimized geometry

Results
Uncorrected formation energy (eV/atom): -0.0268
Total DFT energy (no corrections) (eV/atom): -2.3543
DOS at the Fermi energy (states/eV per cell): 1.41
Size of the total moment (μB per cell): 0.00

Cell: 4.6014 5.5348 5.7544 Å, 90.00 90.00 90.00°
Space group Cmmm (No. 65)
Unique sites:
Zn: 0.0000 0.0000 0.2389 [4 per cell]
Au: 0.0000 0.5000 0.0000 [2 per cell]
Se: 0.0000 0.5000 0.5000 [2 per cell]



Record 14
Material: Zn2AuSe
Method: DFT, GGA-PBE
State: optimized geometry

Results
Uncorrected formation energy (eV/atom): -0.0088
Total DFT energy (no corrections) (eV/atom): -2.3363
DOS at the Fermi energy (states/eV per cell): 2.27
Size of the total moment (μB per cell): 0.00

Cell: 3.8332 6.8007 6.8666 Å, 90.00 90.00 90.00°
Space group Immm (No. 71)
Unique sites:
Zn: 0.0000 0.0000 0.2489 [4 per cell]
Au: 0.0000 0.5000 0.5000 [2 per cell]
Se: 0.0000 0.5000 0.0000 [2 per cell]